First-principles (PBE-GGA) data for a geometry-optimized BeSb2Ir structure, as listed in Alexandria.

Lattice parameters (Å, degrees): 3.5708 3.6903 12.6716 90.00 90.00 90.00
Last column: nearest neighbours and their distance in Å.
Space group Imm2 (No. 44)
One atom of each set of equivalent atoms:
Be (0.0000, 0.0000, 0.0000)  2 Ir 2.22
Sb (0.0000, 0.0000, 0.5692)  4 Be 2.71, 2 Ir 2.77
Sb (0.0000, 0.5000, 0.3070)  4 Ir 2.84, 2 Be 3.03
Ir (0.0000, 0.5000, 0.9025)  2 Be 2.22

* V: 20.872 A^3/atom
* ΔE_f (raw): 0.2 eV/f.u.

***

First-principles (PBE-GGA) data for a geometry-optimized LaTbCoSi structure, as listed in Alexandria.

Lattice parameters (Å, degrees): 7.0024 4.0446 7.6559 90.00 107.84 90.00
Last column: nearest neighbours and their distance in Å.
Space group Cm (No. 8)
One atom of each set of equivalent atoms:
La (0.0000, 0.0000, 0.0000)  3 Co 3.01, 3 Si 3.05
Tb (0.1697, 0.0000, 0.5061)  3 Si 2.90, 3 Co 2.94
Co (0.4207, 0.0000, 0.2609)  3 Si 2.34
Si (0.2571, 0.5000, 0.2697)  3 Co 2.34

* V: 25.800 A^3/atom
* ΔE_f (raw): -2.0 eV/f.u.

***

First-principles (PBE-GGA) data for a geometry-optimized RbInICl structure, as listed in Alexandria.

Lattice parameters (Å, degrees): 4.7499 4.7499 25.5090 90.00 90.00 120.00
Last column: nearest neighbours and their distance in Å.
Space group R3m (No. 160, hexagonal axes)
One atom of each set of equivalent atoms:
Rb (0.0000, 0.0000, 0.0000)  3 Cl 3.31
In (0.0000, 0.0000, 0.1513)  3 Cl 3.40, 3 I 3.45
I (0.0000, 0.0000, 0.5669)  3 In 3.45, 3 Rb 3.74
Cl (0.0000, 0.0000, 0.7395)  3 Rb 3.31, 3 In 3.40

* V: 41.521 A^3/atom
* ΔE_f (raw): -4.5 eV/f.u.

***

First-principles (PBE-GGA) data for a geometry-optimized Sm3Dy4Hg structure, as listed in Alexandria.

Lattice parameters (Å, degrees): 3.5964 3.5964 19.1353 90.00 90.00 90.00
Last column: nearest neighbours and their distance in Å.
Space group P4/mmm (No. 123)
One atom of each set of equivalent atoms:
Sm (0.0000, 0.0000, 0.0000)  8 Dy 3.59, 4 Sm 3.60
Sm (0.0000, 0.0000, 0.2643)  8 Dy 3.58, 4 Sm 3.60
Dy (0.5000, 0.5000, 0.1323)  8 Sm 3.58-3.59, 4 Dy 3.60
Dy (0.5000, 0.5000, 0.3960)  4 Hg 3.23, 4 Sm 3.58, 4 Dy 3.60
Hg (0.0000, 0.0000, 0.5000)  8 Dy 3.23, 4 Hg 3.60

* V: 30.937 A^3/atom
* formation energy: -0.1081 eV per atom

***

In states/eV per atom, the D(E_F) values for the records above are, in order, 0.38 1.30 0.00 1.23.